# SrZnPBr | the Alexandria database | PBE-GGA | relaxed
# - E: -3.70 eV per atom
# - ΔE_f (raw): -1.186 eV/atom
data_SrZnPBr
_cell_length_a 4.2194
_cell_length_b 4.2194
_cell_length_c 43.2148
_cell_angle_alpha 90.00
_cell_angle_beta 90.00
_cell_angle_gamma 120.00
_space_group_name_H-M_alt 'R -3 m'
_space_group_IT_number 166
_space_group_name_Hall '-R 3 2"'
loop_
_atom_site_label
_atom_site_type_symbol
_atom_site_fract_x
_atom_site_fract_y
_atom_site_fract_z
Sr1 Sr 0.0000 0.0000 0.0816
Zn1 Zn 0.0000 0.0000 0.3122
P1 P 0.0000 0.0000 0.3702
Br1 Br 0.0000 0.0000 0.2108